Material: Lu2Be
Method: DFT, PBE
State: optimized geometry

magnetic moment: 0.0 μB/f.u.
mass density: 8.2 Mg/m³
total DFT energy (no corrections): -4.009 eV per atom
polymorph energy (0 for the lowest one): 0.000 eV per atom

```
data_Lu2Be
_space_group_name_H-M_alt 'F m -3 m'
_space_group_IT_number 225
_space_group_name_Hall '-F 4 2 3'
_cell_length_a 6.616
_cell_length_b 6.616
_cell_length_c 6.616
_cell_angle_alpha 90.00
_cell_angle_beta 90.00
_cell_angle_gamma 90.00
loop_
_atom_site_label
_atom_site_fract_x
_atom_site_fract_y
_atom_site_fract_z
Lu1 0.250 0.250 0.250
Be1 0.000 0.000 0.000
```